#P
Here is crystalline Zn3Hg4 at its relaxed geometry from the Alexandria database. Energies are from PBE-GGA.

Total magnetization: 0.000 μB per atom
Mass density: 11.16 g/cm3
SG: I4/mmm, No. 139

Geometry as POSCAR:
```
Zn3Hg4
1.0
3.9302 0.0000 0.0000
0.0000 3.9302 0.0000
0.0000 0.0000 19.2376
Zn Hg
6 8
Direct
0.0000 0.0000 0.0000
0.0000 0.0000 0.2854
0.0000 0.0000 0.7146
0.5000 0.5000 0.2146
0.5000 0.5000 0.5000
0.5000 0.5000 0.7854
0.0000 0.0000 0.1479
0.0000 0.0000 0.4267
0.0000 0.0000 0.5733
0.0000 0.0000 0.8521
0.5000 0.5000 0.0733
0.5000 0.5000 0.3521
0.5000 0.5000 0.6479
0.5000 0.5000 0.9267
```


#Q
Here is crystalline Zn3Hg4 at its relaxed geometry from the Alexandria database. Energies are from PBE-GGA.

Total magnetization: 0.000 μB per atom
Mass density: 10.91 g/cm3
SG: P6/mmm, No. 191

Geometry as POSCAR:
```
Zn3Hg4
1.0
5.1161 0.0000 0.0000
-2.5580 4.4306 0.0000
0.0000 0.0000 6.7023
Zn Hg
3 4
Direct
0.0000 0.5000 0.0000
0.5000 0.0000 0.0000
0.5000 0.5000 0.0000
0.0000 0.0000 0.2553
0.0000 0.0000 0.7447
0.3333 0.6667 0.5000
0.6667 0.3333 0.5000
```


Quick ranking, most stable first: #Q, #P.


#P
Here is crystalline Zr2ZnHg at its relaxed geometry from the Alexandria database. Energies are from PBE-GGA.

Total magnetization: 0.000 μB per atom
Mass density: 9.20 g/cm3
SG: Cmmm, No. 65

Geometry as POSCAR:
```
Zr2ZnHg
1.0
5.9462 0.0000 0.0000
0.0000 8.4259 0.0000
0.0000 0.0000 3.2325
Zr Zn Hg
4 2 2
Direct
0.2500 0.2500 0.0000
0.2500 0.7500 0.0000
0.7500 0.2500 0.0000
0.7500 0.7500 0.0000
0.0000 0.0000 0.5000
0.5000 0.5000 0.5000
0.0000 0.5000 0.5000
0.5000 0.0000 0.5000
```


#Q
Here is crystalline Zr2ZnHg at its relaxed geometry from the Alexandria database. Energies are from PBE-GGA.

Total magnetization: 0.000 μB per atom
Mass density: 8.59 g/cm3
SG: I-42d, No. 122

Geometry as POSCAR:
```
Zr2ZnHg
1.0
7.8097 0.0000 0.0000
0.0000 7.8097 0.0000
0.0000 0.0000 5.6838
Zr Zn Hg
8 4 4
Direct
0.2364 0.2500 0.1250
0.2500 0.7364 0.3750
0.2500 0.7636 0.8750
0.2636 0.2500 0.6250
0.7364 0.7500 0.6250
0.7500 0.2364 0.8750
0.7500 0.2636 0.3750
0.7636 0.7500 0.1250
0.0000 0.0000 0.0000
0.0000 0.5000 0.2500
0.5000 0.0000 0.7500
0.5000 0.5000 0.5000
0.0000 0.0000 0.5000
0.0000 0.5000 0.7500
0.5000 0.0000 0.2500
0.5000 0.5000 0.0000
```


Quick ranking, most stable first: #P, #Q.